Record 1
The following is a DFT calculation (PBE-GGA) of an optimized crystal structure of BaTlTe2.

## Properties
* magnetization: 0.0 μB/cell
* formation energy without anion corrections: -895 meV/atom
* E: -3.54 eV/atom

Cell lengths 4.4808, 4.4808, 7.1238 Å; angles 90.00, 90.00, 90.00 degrees
Closest atoms and distances in Å follow each position.
Fractional positions:
Te1 0.0000 0.0000 0.0015  2 Te 3.54-3.58, 4 Tl 3.63, 4 Ba 3.64
Tl1 0.5000 0.5000 0.2500  2 Ba 3.56, 8 Te 3.63
Ba1 0.5000 0.5000 0.7500  2 Tl 3.56, 8 Te 3.64
Te2 0.0000 0.0000 0.4985  2 Te 3.54-3.58, 4 Tl 3.63, 4 Ba 3.64

Record 2
The following is a DFT calculation (PBE-GGA) of an optimized crystal structure of BaTl2Te2.

## Properties
* magnetization: 0.0 μB/cell
* offset from the most stable computed form: 0.0000 eV/atom
* formation energy without anion corrections: -891 meV/atom
* E: -3.48 eV/atom

Cell lengths 4.8981, 4.8981, 10.2441 Å; angles 76.17, 76.17, 60.00 degrees
Closest atoms and distances in Å follow each position.
Fractional positions:
Tl1 0.2062 0.2062 0.3814  3 Te 3.29, 3 Tl 3.67
Tl2 0.7938 0.7938 0.6186  3 Te 3.29, 3 Tl 3.67
Ba1 0.0000 0.0000 0.0000  6 Te 3.51
Te1 0.4037 0.4037 0.7888  3 Tl 3.29, 3 Ba 3.51
Te2 0.5963 0.5963 0.2112  3 Tl 3.29, 3 Ba 3.51

Record 3
The following is a DFT calculation (PBE-GGA) of an optimized crystal structure of Ba2TlTe.

## Properties
* magnetization: 0.0 μB/cell
* offset from the most stable computed form: 0.1641 eV/atom
* formation energy without anion corrections: -776 meV/atom
* E: -3.11 eV/atom

Cell lengths 7.3761, 7.3761, 7.3761 Å; angles 140.29, 140.29, 57.41 degrees
Closest atoms and distances in Å follow each position.
Fractional positions:
Tl1 0.7500 0.2500 0.5000  4 Ba 3.54
Te1 0.5000 0.5000 0.0000  4 Ba 3.54
Ba1 0.2500 0.7500 0.5000  4 Tl 3.54
Ba2 0.0000 0.0000 0.0000  4 Te 3.54